Model a:
PBE BiSbPCl2, relaxed; space group = P4/mmm, No. 123; crystal system = tetragonal
1.0
-4.449 0.003 2.766
-2.731 -0.825 -4.393
0.484 -5.793 0.786
Sb Bi Cl P
1 1 2 1
Direct
0.500 0.500 0.500
0.000 0.000 0.000
0.500 0.000 0.000
0.000 0.500 0.000
0.000 0.000 0.500

Model b:
PBE BiSbPCl2, relaxed; space group = P4/mmm, No. 123; crystal system = tetragonal
1.0
5.117 0.000 0.000
0.000 5.117 0.000
0.000 0.000 5.537
P Sb Cl Bi
1 1 2 1
Direct
0.000 0.000 0.500
0.000 0.000 0.000
0.500 0.000 0.000
0.000 0.500 0.000
0.500 0.500 0.500

Which structure is the most stable? The one labeled model b.

Model a:
PBE ScBiP2Cl, relaxed; space group = P4/mmm, No. 123; crystal system = tetragonal
1.0
5.100 0.000 0.000
0.000 5.100 0.000
0.000 0.000 4.740
P Bi Sc Cl
2 1 1 1
Direct
0.500 0.000 0.000
0.000 0.500 0.000
0.500 0.500 0.500
0.000 0.000 0.000
0.000 0.000 0.500

Model b:
PBE ScBiP2Cl, relaxed; space group = P4/mmm, No. 123; crystal system = tetragonal
1.0
5.252 0.000 0.000
0.000 5.252 0.000
0.000 0.000 5.119
Cl P Bi Sc
1 2 1 1
Direct
0.000 0.000 0.500
0.500 0.000 0.000
0.000 0.500 0.000
0.000 0.000 0.000
0.500 0.500 0.500

Which structure is the most stable? The one labeled model a.

Model a:
PBE BiPSeCl2, relaxed; space group = P4/mmm, No. 123; crystal system = tetragonal
1.0
5.245 0.000 0.000
0.000 5.245 0.000
0.000 0.000 5.905
Cl Se Bi P
2 1 1 1
Direct
0.500 0.000 0.000
0.000 0.500 0.000
0.500 0.500 0.500
0.000 0.000 0.000
0.000 0.000 0.500

Model b:
PBE BiPSeCl2, relaxed; space group = P4/mmm, No. 123; crystal system = tetragonal
1.0
4.868 0.000 0.000
0.000 4.868 0.000
0.000 0.000 5.301
P Cl Bi Se
1 2 1 1
Direct
0.000 0.000 0.500
0.500 0.000 0.000
0.000 0.500 0.000
0.500 0.500 0.500
0.000 0.000 0.000

Which structure is the most stable? The one labeled model b.

Model a:
PBE SiBiPCl2, relaxed; space group = P4/mmm, No. 123; crystal system = tetragonal
1.0
4.670 0.000 0.000
0.000 4.670 0.000
0.000 0.000 5.034
Cl P Bi Si
2 1 1 1
Direct
0.000 0.500 0.000
0.500 0.000 0.000
0.000 0.000 0.500
0.500 0.500 0.500
0.000 0.000 0.000

Model b:
PBE SiBiPCl2, relaxed; space group = P4/mmm, No. 123; crystal system = tetragonal
1.0
-4.806 -2.182 -0.066
0.322 -0.551 -5.240
2.264 -5.007 0.665
Si P Cl Bi
1 1 2 1
Direct
0.500 0.500 0.500
0.000 0.000 0.500
0.500 0.000 0.000
0.000 0.500 0.000
0.000 0.000 0.000

Which structure is the most stable? The one labeled model a.